No. 1
Material: TbHoEr2Rh4
Method: DFT, PBE
State: relaxed

Results
The density of states at the Fermi level comes out at 0.404 states/eV/atom. As for the space group: R-3m. Its calculated total energy is -55.03 eV for the cell shown. The formation energy comes out at -87.9 kJ per mole of atoms.

Lattice parameters (Å, degrees): 4.8206 4.8206 8.3575 73.24 73.24 60.00
Fractional coordinates of all 8 atoms:
Ho (0.5000, 0.5000, 0.5000)
Rh (0.8746, 0.8746, 0.3763)
Rh (0.6245, 0.6245, 0.1264)
Rh (0.1254, 0.1254, 0.6237)
Rh (0.3755, 0.3755, 0.8736)
Er (0.2497, 0.2497, 0.2510)
Er (0.7503, 0.7503, 0.7490)
Tb (0.0000, 0.0000, 0.0000)

***

No. 2
Material: HoErTlRh
Method: DFT, PBE
State: relaxed

Results
The density of states at the Fermi level comes out at 0.360 states/eV/atom. As for the distance to the lowest polymorph of the same formula: 0.0000 eV per atom. As for the space group: P4mm. Its calculated total energy is -21.40 eV for the cell shown. The formation energy comes out at -61.4 kJ per mole of atoms.

Lattice parameters (Å, degrees): 3.5147 3.5147 7.5550 90.00 90.00 90.00
Fractional coordinates of all 4 atoms:
Ho (0.5000, 0.5000, 0.3557)
Tl (0.0000, 0.0000, 0.0697)
Er (0.5000, 0.5000, 0.7860)
Rh (0.0000, 0.0000, 0.5733)

***

No. 3
Material: HoErTlRh
Method: DFT, PBE
State: relaxed

Results
The density of states at the Fermi level comes out at 0.356 states/eV/atom. As for the distance to the lowest polymorph of the same formula: 0.1226 eV per atom. As for the space group: F-43m. Its calculated total energy is -20.91 eV for the cell shown. The formation energy comes out at -49.5 kJ per mole of atoms.

Lattice parameters (Å, degrees): 5.0809 5.0809 5.0809 60.00 60.00 60.00
Fractional coordinates of all 4 atoms:
Rh (0.7500, 0.7500, 0.7500)
Er (0.5000, 0.5000, 0.5000)
Tl (0.2500, 0.2500, 0.2500)
Ho (0.0000, 0.0000, 0.0000)

***

No. 4
Material: HoErZnRh
Method: DFT, PBE
State: relaxed

Results
The density of states at the Fermi level comes out at 0.583 states/eV/atom. As for the space group: F-43m. Its calculated total energy is -20.29 eV for the cell shown. The formation energy comes out at -60.8 kJ per mole of atoms.

Lattice parameters (Å, degrees): 4.9000 4.9000 4.9000 60.00 60.00 60.00
Fractional coordinates of all 4 atoms:
Er (0.2500, 0.2500, 0.2500)
Ho (0.7500, 0.7500, 0.7500)
Zn (0.0000, 0.0000, 0.0000)
Rh (0.5000, 0.5000, 0.5000)

***

No. 5
Material: Ho7ErRu2
Method: DFT, PBE
State: relaxed

Results
The density of states at the Fermi level comes out at 0.989 states/eV/atom. As for the space group: Cmmm. Its calculated total energy is -55.26 eV for the cell shown. The formation energy comes out at -1.0 kJ per mole of atoms.

Lattice parameters (Å, degrees): 5.3500 8.1141 8.1141 115.10 90.00 90.00
Fractional coordinates of all 10 atoms:
Ru (0.5000, 0.7046, 0.2954)
Ru (0.5000, 0.2954, 0.7046)
Ho (0.5000, 0.3261, 0.0580)
Ho (0.0000, 0.7066, 0.2934)
Ho (0.0000, 0.2934, 0.7066)
Ho (0.5000, 0.5000, 0.5000)
Ho (0.5000, 0.0580, 0.3261)
Ho (0.5000, 0.9420, 0.6739)
Ho (0.5000, 0.6739, 0.9420)
Er (0.0000, 0.0000, 0.0000)

***

No. 6
Material: Ho5Er3Ru2
Method: DFT, PBE
State: relaxed

Results
The density of states at the Fermi level comes out at 0.841 states/eV/atom. As for the space group: Ibam. Its calculated total energy is -112.63 eV for the cell shown. The formation energy comes out at -11.4 kJ per mole of atoms.

Lattice parameters (Å, degrees): 7.9519 9.7241 9.7241 61.67 65.87 65.87
Fractional coordinates of all 20 atoms:
Er (0.8756, 0.8585, 0.3903)
Er (0.6244, 0.6097, 0.1415)
Er (0.1244, 0.1415, 0.6097)
Er (0.3756, 0.3903, 0.8585)
Er (0.2500, 0.0000, 0.0000)
Er (0.7500, 0.0000, 0.0000)
Ho (0.5025, 0.7475, 0.7475)
Ho (0.6245, 0.1415, 0.6095)
Ho (0.3755, 0.8585, 0.3905)
Ho (0.4975, 0.2525, 0.2525)
Ho (0.2500, 0.5000, 0.5000)
Ho (0.8755, 0.3905, 0.8585)
Ho (0.1245, 0.6095, 0.1415)
Ho (0.0025, 0.7475, 0.7475)
Ho (0.7500, 0.5000, 0.5000)
Ho (0.9975, 0.2525, 0.2525)
Ru (0.6297, 0.8701, 0.8704)
Ru (0.3703, 0.1299, 0.1296)
Ru (0.8703, 0.1296, 0.1299)
Ru (0.1297, 0.8704, 0.8701)

***

No. 7
Material: Ho3ErRu
Method: DFT, PBE
State: relaxed

Results
The density of states at the Fermi level comes out at 1.046 states/eV/atom. As for the distance to the lowest polymorph of the same formula: 0.0000 eV per atom. As for the space group: Cm. Its calculated total energy is -57.51 eV for the cell shown. The formation energy comes out at -22.8 kJ per mole of atoms.

Lattice parameters (Å, degrees): 3.9004 6.2603 11.8817 82.26 80.55 71.85
Fractional coordinates of all 10 atoms:
Ho (0.7895, 0.0381, 0.3830)
Ho (0.4532, 0.9473, 0.1463)
Ho (0.0975, 0.1877, 0.6173)
Ho (0.9853, 0.1283, 0.9012)
Ho (0.7596, 0.7188, 0.7619)
Ho (0.4218, 0.6322, 0.5242)
Er (0.2286, 0.5355, 0.0073)
Er (0.1140, 0.4820, 0.2900)
Ru (0.7862, 0.2829, 0.1447)
Ru (0.4251, 0.3840, 0.7658)

***

No. 8
Material: HoEr2Ru4
Method: DFT, PBE
State: relaxed

Results
The density of states at the Fermi level comes out at 1.463 states/eV/atom. As for the space group: I4/mmm. Its calculated total energy is -48.94 eV for the cell shown. The formation energy comes out at 25.7 kJ per mole of atoms.

Lattice parameters (Å, degrees): 5.6811 5.6811 5.6811 109.62 109.40 109.40
Fractional coordinates of all 7 atoms:
Ru (0.0000, 0.5000, 0.0000)
Ru (0.5000, 0.0000, 0.0000)
Ru (0.0000, 0.0000, 0.5000)
Ru (0.5000, 0.5000, 0.5000)
Er (0.5000, 0.5000, 0.0000)
Er (0.5000, 0.0000, 0.5000)
Ho (0.0000, 0.0000, 0.0000)